[1]
# Rb2Li3NpF12

A relaxed structure of Rb2Li3NpF12 (PBE, the Alexandria database).

abc: 7.029 7.029 7.029
angles: 61.33 61.33 61.33
Each line ends with the local moment (μB).
Positions (direct):
F1 0.127 0.636 0.127  0.03
Li1 0.500 0.000 0.000  0.00
Np1 0.000 0.000 0.000  -0.80
F2 0.746 0.746 0.112  0.11
Li2 0.000 0.000 0.500  0.00
F3 0.127 0.127 0.636  0.03
F4 0.254 0.254 0.888  0.11
F5 0.636 0.127 0.127  0.03
F6 0.888 0.254 0.254  0.11
F7 0.873 0.873 0.364  0.03
Li3 0.000 0.500 0.000  0.00
Rb1 0.402 0.402 0.402  0.00
F8 0.873 0.364 0.873  0.03
F9 0.254 0.888 0.254  0.11
F10 0.746 0.112 0.746  0.11
Rb2 0.598 0.598 0.598  0.00
F11 0.112 0.746 0.746  0.11
F12 0.364 0.873 0.873  0.03

## Properties
Energy relative to the elements, uncorrected   -254.8 kJ/mol of atoms
D(E_F)   12.72 states/eV/f.u.

=====

[2]
# Li2NpSnF8

A relaxed structure of Li2NpSnF8 (PBE, the Alexandria database).

abc: 5.535 5.535 7.436
angles: 90.00 90.00 120.00
Each line ends with the local moment (μB).
Positions (direct):
F1 0.333 0.667 0.444  0.00
F2 0.667 0.333 0.556  0.00
F3 0.163 0.326 0.799  -0.02
F4 0.163 0.837 0.799  -0.02
F5 0.837 0.674 0.201  -0.02
F6 0.326 0.163 0.201  -0.02
Li1 0.667 0.333 0.321  0.00
F7 0.674 0.837 0.799  -0.02
Li2 0.333 0.667 0.679  0.00
Sn1 0.000 0.000 0.500  0.00
F8 0.837 0.163 0.201  -0.02
Np1 0.000 0.000 0.000  3.06

## Properties
Energy relative to the elements, uncorrected   -268.6 kJ/mol of atoms
D(E_F)   9.27 states/eV/f.u.

=====

[3]
# Sr2Li3NpF12

A relaxed structure of Sr2Li3NpF12 (PBE, the Alexandria database).

abc: 8.771 8.771 8.771
angles: 44.12 44.12 44.12
Each line ends with the local moment (μB).
Positions (direct):
F1 0.100 0.651 0.651  0.00
F2 0.651 0.100 0.651  0.00
Li1 0.000 0.500 0.000  0.00
F3 0.898 0.898 0.350  -0.03
Li2 0.000 0.000 0.500  0.00
F4 0.349 0.349 0.900  0.00
F5 0.102 0.102 0.650  -0.03
Sr1 0.573 0.573 0.573  0.00
F6 0.898 0.350 0.898  -0.03
F7 0.650 0.102 0.102  -0.03
F8 0.102 0.650 0.102  -0.03
F9 0.349 0.900 0.349  0.00
Li3 0.500 0.000 0.000  0.00
Sr2 0.427 0.427 0.427  0.00
F10 0.900 0.349 0.349  0.00
Np1 0.000 0.000 0.000  2.17
F11 0.651 0.651 0.100  0.00
F12 0.350 0.898 0.898  -0.03

## Properties
Energy relative to the elements, uncorrected   -303.0 kJ/mol of atoms
D(E_F)   8.72 states/eV/f.u.

=====

[4]
# Li2NpTlF8

A relaxed structure of Li2NpTlF8 (PBE, the Alexandria database).

abc: 5.577 5.577 8.064
angles: 90.00 90.00 120.00
Each line ends with the local moment (μB).
Positions (direct):
Li1 0.667 0.333 0.307  0.00
F1 0.830 0.170 0.159  -0.03
F2 0.830 0.661 0.159  -0.03
F3 0.170 0.339 0.841  -0.03
Np1 0.000 0.000 0.000  2.27
Tl1 0.000 0.000 0.500  -0.01
Li2 0.333 0.667 0.693  0.00
F4 0.661 0.830 0.841  -0.03
F5 0.170 0.830 0.841  -0.03
F6 0.339 0.170 0.159  -0.03
F7 0.667 0.333 0.526  -0.09
F8 0.333 0.667 0.474  -0.09

## Properties
Energy relative to the elements, uncorrected   -270.1 kJ/mol of atoms
D(E_F)   14.21 states/eV/f.u.

=====

Question: What is the energy relative to the elements, uncorrected in the third record?
Answer: -303.0 kJ/mol of atoms

=====

Question: Look up the D(E_F) of the third one.
Answer: 8.72 states/eV/f.u.